This record from Alexandria via LeMat-Bulk describes crystalline La4SbTe3 at its relaxed geometry. The functional is PBE.

Output
DOS at the Fermi energy	4.543	states/eV/f.u.
uncorrected energy	-5.698	eV per atom
space-group type	Cmmm (65)
total magnetic moment	0.00	μB per formula unit

abc: 4.5868 7.9592 7.9592
angles: 109.33 90.00 90.00
With the nearest neighbours (Å) after each atom.
Atoms (fractional coordinates):
Te 0.5000 0.5000 0.5000  6 La 3.28
La 0.5000 0.2471 0.7529  1 Sb 3.21, 5 Te 3.25-3.28
Te 0.0000 0.0000 0.5000  6 La 3.25
Sb 0.5000 0.0000 0.0000  6 La 3.21
La 0.0000 0.2446 0.2446  2 Sb 3.21, 4 Te 3.25-3.28
La 0.0000 0.7554 0.7554  2 Sb 3.21, 4 Te 3.25-3.28
Te 0.0000 0.5000 0.0000  6 La 3.25
La 0.5000 0.7529 0.2471  1 Sb 3.21, 5 Te 3.25-3.28

=====

This record from Alexandria via LeMat-Bulk describes crystalline AcPtBr at its relaxed geometry. The functional is PBE.

Output
energy relative to the lowest polymorph listed for this composition	0.000	eV/atom
uncorrected energy	-5.446	eV per atom
space-group type	P-1 (2)
total magnetic moment	0.00	μB per formula unit

abc: 4.5419 4.5417 11.7007
angles: 101.40 101.36 59.97
With the nearest neighbours (Å) after each atom.
Atoms (fractional coordinates):
Pt 0.1554 0.1553 0.4668  3 Pt 2.73
Ac 0.5599 0.5606 0.6772  3 Pt 3.09, 3 Br 3.25
Br 0.2834 0.2847 0.8456  3 Ac 3.25
Ac 0.4401 0.4394 0.3228  3 Pt 3.09, 3 Br 3.25
Pt 0.8446 0.8447 0.5332  3 Pt 2.73
Br 0.7166 0.7153 0.1544  3 Ac 3.25

=====

This record from Alexandria via LeMat-Bulk describes crystalline SrCaMo2 at its relaxed geometry. The functional is PBE.

Output
DOS at the Fermi energy	4.639	states/eV/f.u.
energy relative to the lowest polymorph listed for this composition	0.190	eV/atom
uncorrected energy	-5.686	eV per atom
space-group type	Cm (8)
total magnetic moment	0.00	μB per formula unit
E_form	0.65	eV/atom

abc: 4.4600 4.4600 8.3229
angles: 85.94 85.94 43.37
With the nearest neighbours (Å) after each atom.
Atoms (fractional coordinates):
Ca 0.2660 0.2660 0.1681  5 Mo 2.98-3.28, 2 Ca 3.30
Mo 0.0130 0.0130 0.9326  3 Mo 2.52-2.56
Sr 0.4869 0.4869 0.5685  5 Mo 3.11-3.47, 2 Sr 3.30
Mo 0.7341 0.7341 0.8309  3 Mo 2.52-2.56

=====

This record from Alexandria via LeMat-Bulk describes crystalline CoGeSbC2 at its relaxed geometry. The functional is PBE.

Output
DOS at the Fermi energy	5.201	states/eV/f.u.
uncorrected energy	-4.688	eV per atom
space-group type	P4/mmm (123)
total magnetic moment	1.80	μB per formula unit

abc: 3.7950 6.0705 3.7950
angles: 90.00 90.00 90.00
With the nearest neighbours (Å) after each atom.
Atoms (fractional coordinates):
C 0.5000 0.0000 0.0000  2 Ge 1.90
Co 0.5000 0.5000 0.5000  4 Sb 2.68
Ge 0.0000 0.0000 0.0000  4 C 1.90
Sb 0.0000 0.5000 0.0000  4 Co 2.68
C 0.0000 0.0000 0.5000  2 Ge 1.90

=====

This record from Alexandria via LeMat-Bulk describes crystalline KMo2 at its relaxed geometry. The functional is PBE.

Output
DOS at the Fermi energy	3.161	states/eV/f.u.
energy relative to the lowest polymorph listed for this composition	0.537	eV/atom
uncorrected energy	-6.411	eV per atom
space-group type	Immm (71)
total magnetic moment	0.00	μB per formula unit
E_form	1.18	eV/atom

abc: 8.1530 8.1530 8.1530
angles: 161.30 155.89 30.69
With the nearest neighbours (Å) after each atom.
Atoms (fractional coordinates):
Mo 0.6978 0.6978 0.0000  6 Mo 2.65-2.71
Mo 0.3022 0.3022 0.0000  6 Mo 2.65-2.71
K 0.0000 0.0000 0.0000  2 K 2.65

=====

This record from Alexandria via LeMat-Bulk describes crystalline PmZr2TaO8 at its relaxed geometry. The functional is PBE.

Output
DOS at the Fermi energy	0.000	states/eV/f.u.
uncorrected energy	-9.309	eV per atom
space-group type	Cmmm (65)
total magnetic moment	0.00	μB per formula unit

abc: 4.9606 4.9607 6.6949
angles: 90.00 90.00 89.09
With the nearest neighbours (Å) after each atom.
Atoms (fractional coordinates):
Zr 0.5000 0.5000 0.7528  6 O 2.11-2.21
O 0.8028 0.1972 0.7841  1 Ta 1.99, 1 Zr 2.12
O 0.3225 0.3219 0.5000  2 Zr 2.11, 1 Pm 2.28
Zr 0.5000 0.5000 0.2472  6 O 2.11-2.21
O 0.1972 0.8028 0.2159  1 Ta 1.99, 1 Zr 2.12
O 0.7073 0.7072 0.0000  1 Ta 2.07, 2 Zr 2.21
Ta 0.0000 0.0000 0.0000  6 O 1.99-2.07
O 0.1972 0.8028 0.7841  1 Ta 1.99, 1 Zr 2.12
O 0.2927 0.2928 0.0000  1 Ta 2.07, 2 Zr 2.21
Pm 0.0000 0.0000 0.5000  6 O 2.28-2.35
O 0.6775 0.6781 0.5000  2 Zr 2.11, 1 Pm 2.28
O 0.8028 0.1972 0.2159  1 Ta 1.99, 1 Zr 2.12

=====

This record from Alexandria via LeMat-Bulk describes crystalline AlHgSb2 at its relaxed geometry. The functional is PBE.

Output
DOS at the Fermi energy	1.789	states/eV/f.u.
energy relative to the lowest polymorph listed for this composition	0.198	eV/atom
uncorrected energy	-2.814	eV per atom
space-group type	Fm-3m (225)
total magnetic moment	0.00	μB per formula unit

abc: 5.1819 5.1819 5.1819
angles: 60.00 60.00 60.00
With the nearest neighbours (Å) after each atom.
Atoms (fractional coordinates):
Al 0.0000 0.0000 0.0000  8 Sb 3.17
Sb 0.2500 0.2500 0.2500  4 Hg 3.17, 4 Al 3.17
Sb 0.7500 0.7500 0.7500  4 Al 3.17, 4 Hg 3.17
Hg 0.5000 0.5000 0.5000  8 Sb 3.17

=====

This record from Alexandria via LeMat-Bulk describes crystalline PmNd2DyHo6 at its relaxed geometry. The functional is PBE.

Output
DOS at the Fermi energy	14.581	states/eV/f.u.
uncorrected energy	-4.514	eV per atom
space-group type	C2/c (15)
total magnetic moment	0.00	μB per formula unit
E_form	0.12	eV/atom

abc: 9.7567 8.7618 8.7618
angles: 118.04 94.89 94.89
With the nearest neighbours (Å) after each atom.
Atoms (fractional coordinates):
Nd 0.9583 0.7081 0.8105  6 Ho 3.28-3.66, 2 Dy 3.32-3.37, 1 Pm 3.58
Nd 0.0417 0.2919 0.1895  6 Ho 3.28-3.66, 2 Dy 3.32-3.37, 1 Pm 3.58
Ho 0.1203 0.7067 0.4973  4 Ho 3.23-3.53, 3 Nd 3.28-3.46, 2 Pm 3.44-3.58
Pm 0.2500 0.4050 0.5950  8 Ho 3.44-3.74, 2 Nd 3.58
Ho 0.3797 0.5027 0.2933  4 Ho 3.23-3.53, 3 Nd 3.28-3.46, 2 Pm 3.44-3.58
Ho 0.3146 0.9730 0.4214  3 Ho 3.23-3.60, 1 Nd 3.40, 1 Pm 3.49, 1 Dy 3.58
Dy 0.7500 0.0175 0.9825  4 Nd 3.32-3.37, 4 Ho 3.58-3.64
Ho 0.6854 0.0270 0.5786  3 Ho 3.23-3.60, 1 Nd 3.40, 1 Pm 3.49, 1 Dy 3.58
Ho 0.9432 0.8770 0.2569  8 Ho 3.40-3.78, 1 Nd 3.49, 1 Dy 3.64, 1 Pm 3.74
Ho 0.4432 0.2569 0.8770  8 Ho 3.40-3.78, 1 Nd 3.49, 1 Dy 3.64, 1 Pm 3.74
Ho 0.0568 0.1230 0.7431  8 Ho 3.40-3.78, 1 Nd 3.49, 1 Dy 3.64, 1 Pm 3.74
Ho 0.8797 0.2933 0.5027  4 Ho 3.23-3.53, 3 Nd 3.28-3.46, 2 Pm 3.44-3.58
Pm 0.7500 0.5950 0.4050  8 Ho 3.44-3.74, 2 Nd 3.58
Dy 0.2500 0.9825 0.0175  4 Nd 3.32-3.37, 4 Ho 3.58-3.64
Nd 0.4583 0.8105 0.7081  6 Ho 3.28-3.66, 2 Dy 3.32-3.37, 1 Pm 3.58
Ho 0.8146 0.4214 0.9730  3 Ho 3.23-3.60, 1 Nd 3.40, 1 Pm 3.49, 1 Dy 3.58
Ho 0.5568 0.7431 0.1230  8 Ho 3.40-3.78, 1 Nd 3.49, 1 Dy 3.64, 1 Pm 3.74
Ho 0.1854 0.5786 0.0270  3 Ho 3.23-3.60, 1 Nd 3.40, 1 Pm 3.49, 1 Dy 3.58
Ho 0.6203 0.4973 0.7067  4 Ho 3.23-3.53, 3 Nd 3.28-3.46, 2 Pm 3.44-3.58
Nd 0.5417 0.1895 0.2919  6 Ho 3.28-3.66, 2 Dy 3.32-3.37, 1 Pm 3.58

=====

Q: Which of these has the highest total magnetic moment?
A: CoGeSbC2

=====

Q: What is the uncorrected energy in the third record?
A: -5.686 eV per atom

=====

Q: What is the uncorrected energy in the eighth record?
A: -4.514 eV per atom